Record 1
# Pm2CSe | Alexandria | PBE-GGA | relaxed
# - crystal system = trigonal
# - DOS(E_F) (states/eV/cell) = 1.6
# - energy relative to the lowest polymorph listed for this composition (meV per atom) = 0.0
# - spin magnetization (μB per atom) = 0.0000
# - formation energy (no corrections) (eV/atom) = -1.04
# - electronic total energy (hartree per atom) = -0.242
data_Pm2CSe
_chemical_formula_sum 'Pm6 C3 Se3'
_symmetry_space_group_name_H-M 'R -3 m'
_symmetry_Int_Tables_number 166
_symmetry_space_group_name_Hall '-R 3 2"'
_cell_length_a 3.8987
_cell_length_b 3.8987
_cell_length_c 20.3892
_cell_angle_alpha 90.00
_cell_angle_beta 90.00
_cell_angle_gamma 120.00
loop_
_atom_site_label
_atom_site_type_symbol
_atom_site_fract_x
_atom_site_fract_y
_atom_site_fract_z
Pm1 Pm 0.0000 0.0000 0.2356
C1 C 0.0000 0.0000 0.5000
Se1 Se 0.0000 0.0000 0.0000


Record 2
# Pm5CSe5 | Alexandria | PBE-GGA | relaxed
# - crystal system = monoclinic
# - DOS(E_F) (states/eV/cell) = 5.8
# - spin magnetization (μB per atom) = 0.0000
# - formation energy (no corrections) (eV/atom) = -1.56
# - electronic total energy (hartree per atom) = -0.226
data_Pm5CSe5
_chemical_formula_sum 'Pm10 C2 Se10'
_symmetry_space_group_name_H-M 'C 1 2/m 1'
_symmetry_Int_Tables_number 12
_cell_length_a 13.119
_cell_length_b 5.832
_cell_length_c 8.170
_cell_angle_alpha 90.00
_cell_angle_beta 108.72
_cell_angle_gamma 90.00
loop_
_symmetry_equiv_pos_as_xyz
'x,y,z'
'-x,-y,-z'
'-x,y,-z'
'x,-y,z'
'x+1/2,y+1/2,z'
'-x+1/2,-y+1/2,-z'
'-x+1/2,y+1/2,-z'
'x+1/2,-y+1/2,z'
loop_
_atom_site_label
_atom_site_type_symbol
_atom_site_fract_x
_atom_site_fract_y
_atom_site_fract_z
Pm1 Pm 0.000 0.000 0.000
Pm2 Pm 0.148 0.500 0.844
Pm3 Pm 0.151 0.500 0.308
C1 C 0.000 0.500 0.000
Se1 Se 0.000 0.500 0.500
Se2 Se 0.166 0.000 0.830
Se3 Se 0.176 0.000 0.332


Record 3
# Pm2CSe | Alexandria | PBE-GGA | relaxed
# - crystal system = orthorhombic
# - DOS(E_F) (states/eV/cell) = 1.8
# - energy relative to the lowest polymorph listed for this composition (meV per atom) = 40.4
# - spin magnetization (μB per atom) = 0.0000
# - formation energy (no corrections) (eV/atom) = -1.00
# - electronic total energy (hartree per atom) = -0.241
data_Pm2CSe
_chemical_formula_sum 'Pm4 C2 Se2'
_symmetry_space_group_name_H-M 'P m m n'
_symmetry_Int_Tables_number 59
_cell_length_a 3.833
_cell_length_b 5.703
_cell_length_c 8.269
_cell_angle_alpha 90.00
_cell_angle_beta 90.00
_cell_angle_gamma 90.00
loop_
_symmetry_equiv_pos_as_xyz
'x,y,z'
'-x,-y,-z'
'-x+1/2,-y+1/2,z'
'x+1/2,y+1/2,-z'
'x+1/2,-y,-z'
'-x+1/2,y,z'
'-x,y+1/2,-z'
'x,-y+1/2,z'
loop_
_atom_site_label
_atom_site_type_symbol
_atom_site_fract_x
_atom_site_fract_y
_atom_site_fract_z
Pm1 Pm 0.250 0.250 0.095
Pm2 Pm 0.250 0.250 0.673
C1 C 0.250 0.750 0.120
Se1 Se 0.250 0.750 0.619


Record 4
# Pm8Te4CSe3 | Alexandria | PBE-GGA | relaxed
# - crystal system = trigonal
# - DOS(E_F) (states/eV/cell) = 20.6
# - spin magnetization (μB per atom) = 0.0000
# - formation energy (no corrections) (eV/atom) = -1.45
# - electronic total energy (hartree per atom) = -0.215
data_Pm8Te4CSe3
_chemical_formula_sum 'Pm24 Te12 C3 Se9'
_symmetry_space_group_name_H-M 'R -3 m'
_symmetry_Int_Tables_number 166
_symmetry_space_group_name_Hall '-R 3 2"'
_cell_length_a 8.4756
_cell_length_b 8.4756
_cell_length_c 21.5528
_cell_angle_alpha 90.00
_cell_angle_beta 90.00
_cell_angle_gamma 120.00
loop_
_atom_site_label
_atom_site_type_symbol
_atom_site_fract_x
_atom_site_fract_y
_atom_site_fract_z
Pm1 Pm 0.0000 0.0000 0.2405
Pm2 Pm 0.0333 0.5167 0.2349
Te1 Te 0.0000 0.0000 0.0000
Te2 Te 0.0000 0.5000 0.0000
C1 C 0.0000 0.0000 0.5000
Se1 Se 0.0000 0.5000 0.5000


Record 5
# Pm6TeC2Se3 | Alexandria | PBE-GGA | relaxed
# - crystal system = monoclinic
# - DOS(E_F) (states/eV/cell) = 7.8
# - spin magnetization (μB per atom) = 0.0000
# - formation energy (no corrections) (eV/atom) = -1.23
# - electronic total energy (hartree per atom) = -0.231
data_Pm6TeC2Se3
_chemical_formula_sum 'Pm12 Te2 C4 Se6'
_symmetry_space_group_name_H-M 'C 1 2/m 1'
_symmetry_Int_Tables_number 12
_cell_length_a 18.034
_cell_length_b 4.020
_cell_length_c 8.407
_cell_angle_alpha 90.00
_cell_angle_beta 103.14
_cell_angle_gamma 90.00
loop_
_symmetry_equiv_pos_as_xyz
'x,y,z'
'-x,-y,-z'
'-x,y,-z'
'x,-y,z'
'x+1/2,y+1/2,z'
'-x+1/2,-y+1/2,-z'
'-x+1/2,y+1/2,-z'
'x+1/2,-y+1/2,z'
loop_
_atom_site_label
_atom_site_type_symbol
_atom_site_fract_x
_atom_site_fract_y
_atom_site_fract_z
Pm1 Pm 0.028 0.000 0.279
Pm2 Pm 0.178 0.500 0.133
Pm3 Pm 0.178 0.500 0.564
Te1 Te 0.000 0.500 0.000
C1 C 0.172 0.000 0.339
Se1 Se 0.000 0.500 0.500
Se2 Se 0.159 0.000 0.835


Record 6
# PmThCSe | Alexandria | PBE-GGA | relaxed
# - crystal system = trigonal
# - DOS(E_F) (states/eV/cell) = 8.9
# - spin magnetization (μB per atom) = 0.0004
# - formation energy (no corrections) (eV/atom) = -1.05
# - electronic total energy (hartree per atom) = -0.267
data_PmThCSe
_chemical_formula_sum 'Pm3 Th3 C3 Se3'
_symmetry_space_group_name_H-M 'R 3 m'
_symmetry_Int_Tables_number 160
_symmetry_space_group_name_Hall 'R 3 -2"'
_cell_length_a 3.8763
_cell_length_b 3.8763
_cell_length_c 21.0321
_cell_angle_alpha 90.00
_cell_angle_beta 90.00
_cell_angle_gamma 120.00
loop_
_atom_site_label
_atom_site_type_symbol
_atom_site_fract_x
_atom_site_fract_y
_atom_site_fract_z
Pm1 Pm 0.0000 0.0000 0.0000
Th1 Th 0.0000 0.0000 0.8002
C1 C 0.0000 0.0000 0.4071
Se1 Se 0.0000 0.0000 0.2344


Please write out number 3 again, unchanged.
# Pm2CSe | Alexandria | PBE-GGA | relaxed
# - crystal system = orthorhombic
# - DOS(E_F) (states/eV/cell) = 1.8
# - energy relative to the lowest polymorph listed for this composition (meV per atom) = 40.4
# - spin magnetization (μB per atom) = 0.0000
# - formation energy (no corrections) (eV/atom) = -1.00
# - electronic total energy (hartree per atom) = -0.241
data_Pm2CSe
_chemical_formula_sum 'Pm4 C2 Se2'
_symmetry_space_group_name_H-M 'P m m n'
_symmetry_Int_Tables_number 59
_cell_length_a 3.833
_cell_length_b 5.703
_cell_length_c 8.269
_cell_angle_alpha 90.00
_cell_angle_beta 90.00
_cell_angle_gamma 90.00
loop_
_symmetry_equiv_pos_as_xyz
'x,y,z'
'-x,-y,-z'
'-x+1/2,-y+1/2,z'
'x+1/2,y+1/2,-z'
'x+1/2,-y,-z'
'-x+1/2,y,z'
'-x,y+1/2,-z'
'x,-y+1/2,z'
loop_
_atom_site_label
_atom_site_type_symbol
_atom_site_fract_x
_atom_site_fract_y
_atom_site_fract_z
Pm1 Pm 0.250 0.250 0.095
Pm2 Pm 0.250 0.250 0.673
C1 C 0.250 0.750 0.120
Se1 Se 0.250 0.750 0.619


What is the formation energy (no corrections) in the first record?
-1.04 eV/atom


Repeat the fifth record exactly.
# Pm6TeC2Se3 | Alexandria | PBE-GGA | relaxed
# - crystal system = monoclinic
# - DOS(E_F) (states/eV/cell) = 7.8
# - spin magnetization (μB per atom) = 0.0000
# - formation energy (no corrections) (eV/atom) = -1.23
# - electronic total energy (hartree per atom) = -0.231
data_Pm6TeC2Se3
_chemical_formula_sum 'Pm12 Te2 C4 Se6'
_symmetry_space_group_name_H-M 'C 1 2/m 1'
_symmetry_Int_Tables_number 12
_cell_length_a 18.034
_cell_length_b 4.020
_cell_length_c 8.407
_cell_angle_alpha 90.00
_cell_angle_beta 103.14
_cell_angle_gamma 90.00
loop_
_symmetry_equiv_pos_as_xyz
'x,y,z'
'-x,-y,-z'
'-x,y,-z'
'x,-y,z'
'x+1/2,y+1/2,z'
'-x+1/2,-y+1/2,-z'
'-x+1/2,y+1/2,-z'
'x+1/2,-y+1/2,z'
loop_
_atom_site_label
_atom_site_type_symbol
_atom_site_fract_x
_atom_site_fract_y
_atom_site_fract_z
Pm1 Pm 0.028 0.000 0.279
Pm2 Pm 0.178 0.500 0.133
Pm3 Pm 0.178 0.500 0.564
Te1 Te 0.000 0.500 0.000
C1 C 0.172 0.000 0.339
Se1 Se 0.000 0.500 0.500
Se2 Se 0.159 0.000 0.835


Look up the electronic total energy of the second one.
-0.226 hartree per atom